VASP calculation (PBE+U) on a geometry-optimized K3ZnCr2F9 structure.

Cell: 5.9243 5.9243 7.2555 Å, 90.00 90.00 120.00°
Closest atoms and distances in Å follow each position.
Positions (direct):
K: 0.0000 0.0000 0.0000  12 F 2.96
K: 0.3333 0.6667 0.6617  12 F 2.94-2.99
K: 0.6667 0.3333 0.3383  12 F 2.94-2.99
Zn: 0.0000 0.0000 0.5000  6 F 2.07
Cr: 0.3333 0.6667 0.1665  6 F 2.09-2.12
Cr: 0.6667 0.3333 0.8335  6 F 2.09-2.12
F: 0.0000 0.5000 0.0000  2 Cr 2.09
F: 0.1647 0.3294 0.3349  1 Zn 2.07, 1 Cr 2.12
F: 0.1647 0.8353 0.3349  1 Zn 2.07, 1 Cr 2.12
F: 0.3294 0.1647 0.6651  1 Zn 2.07, 1 Cr 2.12
F: 0.5000 0.0000 0.0000  2 Cr 2.09
F: 0.5000 0.5000 0.0000  2 Cr 2.09
F: 0.6706 0.8353 0.3349  1 Zn 2.07, 1 Cr 2.12
F: 0.8353 0.1647 0.6651  1 Zn 2.07, 1 Cr 2.12
F: 0.8353 0.6706 0.6651  1 Zn 2.07, 1 Cr 2.12

* raw total energy: -5.0215 eV per atom
* symmetry: P-3m1, No. 164
* total magnetization: 8.00 μB/f.u.